Record 1
## Li2AlGa (PBE)

Data for Li2AlGa after structural relaxation.

As for the density of states at the Fermi level: 0.458 states/eV/atom. Its total energy is -33.34 eV per cell. The calculated formation energy comes out at -0.1292 eV/atom.

The space group is R3m (No. 160, hexagonal axes) and the conventional cell measures 2.8833, 2.8833 and 27.4289 Å, with angles of 90.00, 90.00 and 120.00 degrees. The inequivalent atoms are Li at (0.0000, 0.0000, 0.0000), Li at (0.0000, 0.0000, 0.1686), Al at (0.0000, 0.0000, 0.4178) and Ga at (0.0000, 0.0000, 0.5841).

=====

Record 2
## BaSc2Si (PBE)

Data for BaSc2Si after structural relaxation.

The calculation puts the uncorrected formation energy at 0.00 eV/atom. As for the density of states at the Fermi level: 0.636 states/eV/atom. Its total energy is -40.01 eV per cell.

The space group is Imm2 (No. 44) and the conventional cell measures 3.955, 4.602 and 11.973 Å, with angles of 90.00, 90.00 and 90.00 degrees. The inequivalent atoms are Ba at (0.000, 0.000, 0.000), Sc at (0.000, 0.000, 0.610), Sc at (0.000, 0.500, 0.788) and Si at (0.000, 0.500, 0.259).

=====

Record 3
## CuN (PBE)

Data for CuN after structural relaxation.

The calculation puts the uncorrected formation energy at 1.01 eV/atom. As for the density of states at the Fermi level: 0.250 states/eV/atom. For the distance to the lowest polymorph of the same formula, the calculation gives 634 meV per atom. Its total energy is -20.80 eV per cell.

The space group is I4mm (No. 107) and the conventional cell measures 2.712, 2.712 and 5.300 Å, with angles of 90.00, 90.00 and 90.00 degrees. The inequivalent atoms are Cu at (0.000, 0.000, 0.000) and N at (0.000, 0.000, 0.613).

=====

Record 4
## NbTlHg2C (PBE)

Data for NbTlHg2C after structural relaxation.

As for the density of states at the Fermi level: 0.774 states/eV/atom. Its total energy is -18.30 eV per cell. The calculated formation energy comes out at 0.7919 eV/atom.

The space group is P4/mmm (No. 123) and the conventional cell measures 4.860, 4.860 and 4.302 Å, with angles of 90.00, 90.00 and 90.00 degrees. The inequivalent atoms are Nb at (0.000, 0.000, 0.000), Tl at (0.500, 0.500, 0.000), Hg at (0.000, 0.500, 0.500) and C at (0.000, 0.000, 0.500).

=====

Record 5
## ZnInCl3 (PBE)

Data for ZnInCl3 after structural relaxation.

The calculation puts the uncorrected formation energy at -1.00 eV/atom. As for the density of states at the Fermi level: 0.000 states/eV/atom. For the distance to the lowest polymorph of the same formula, the calculation gives 26 meV per atom. Its total energy is -116.39 eV per cell.

The space group is C2/c (No. 15) and the conventional cell measures 13.978, 14.688 and 6.229 Å, with angles of 90.00, 91.76 and 90.00 degrees. The inequivalent atoms are Zn at (0.000, 0.147, 0.250), Zn at (0.000, 0.335, 0.750), In at (0.244, 0.402, 0.199), Cl at (0.080, 0.241, 0.006), Cl at (0.120, 0.072, 0.421) and Cl at (0.122, 0.412, 0.608).

=====

Record 6
## TaAlOs2 (PBE)

Data for TaAlOs2 after structural relaxation.

As for the density of states at the Fermi level: 0.485 states/eV/atom. For the distance to the lowest polymorph of the same formula, the calculation gives 346 meV per atom. Its total energy is -38.87 eV per cell. The calculated formation energy comes out at -0.2036 eV/atom.

The space group is Pm (No. 6) and the conventional cell measures 2.828, 4.081 and 5.313 Å, with angles of 90.00, 91.94 and 90.00 degrees. The inequivalent atoms are Ta at (0.000, 0.000, 0.000), Al at (0.499, 0.500, 0.716), Os at (0.017, 0.000, 0.518) and Os at (0.503, 0.500, 0.226).